No. 1
A geometry-optimized CsReBiP2 structure. Source: Alexandria, functional PBE-GGA.

Cell: 4.736 5.812 4.736 Å, 90.00 90.00 90.00°
Positions (direct):
Re1 0.000 0.000 0.000
Bi1 0.500 0.500 0.500
P1 0.500 0.000 0.000
P2 0.000 0.000 0.500
Cs1 0.000 0.500 0.000

Energy relative to the elements   79.4 kJ per mole of atoms
Space-group type   P4/mmm, No. 123
Fermi-level density of states   1.00 states/eV/atom

=====

No. 2
A geometry-optimized CsBiP2S8 structure. Source: Alexandria, functional PBE-GGA.

Cell: 6.194 6.194 10.105 Å, 90.00 90.00 120.00°
Positions (direct):
S1 0.000 0.361 0.667
S2 0.361 0.361 0.333
S3 0.333 0.667 0.922
S4 0.639 0.000 0.333
S5 0.639 0.639 0.667
S6 0.361 0.000 0.667
S7 0.667 0.333 0.078
S8 0.000 0.639 0.333
P1 0.333 0.667 0.723
P2 0.667 0.333 0.277
Cs1 0.000 0.000 0.000
Bi1 0.000 0.000 0.500

E_form (uncorrected)   -277 meV per atom
Space-group type   P-3, No. 147
Fermi-level density of states   0.90 states/eV/atom

=====

Among the records above, which one has the highest Fermi-level density of states?
CsReBiP2

=====

Among the records above, which one has the lowest Fermi-level density of states?
CsBiP2S8

=====

Which of these has the lowest Fermi-level density of states?
CsBiP2S8